Density functional theory data (GGA+U) for a relaxed V2SeF crystal.

It has space group Fm-3m (No. 225), with a = 6.2851 Å, b = 6.2851 Å, c = 6.2851 Å, α = 90.00°, β = 90.00° and γ = 90.00°. Symmetry generates all atoms from V at (0.2500, 0.2500, 0.2500), Se at (0.0000, 0.0000, 0.0000) and F at (0.0000, 0.0000, 0.5000).

The calculated density is 5.346 Mg/m³. The value obtained for the volume is 248.28 Å³/cell. For the density of states at the Fermi level, the calculation gives 15.1 states/eV/cell. The excess energy over the best structure of this formula in the dataset comes out at 0.259 eV/atom. For the size of the total moment, the calculation gives 28.00 μB/cell. The calculation puts the total energy at -0.3937 Ry/atom.